Tb2AlZnAu6 | the Alexandria database | PBE | optimized geometry; ΔH_f (0 K) = -423 meV per atom; volume = 23.82 Å³ per atom; density of states at the Fermi level = 0.309 states/eV/atom
1.0
-4.720 -3.517 1.158
0.852 -3.622 -7.572
1.153 -7.754 -3.324
Tb Al Zn Au
2 1 1 6
Direct
0.198 0.798 0.601
0.802 0.202 0.399
0.500 0.500 0.000
0.000 0.000 0.000
0.255 0.755 0.981
0.763 0.753 0.985
0.253 0.248 0.494
0.745 0.245 0.019
0.237 0.247 0.015
0.747 0.752 0.506


TbZrAlAu | the Alexandria database | PBE | optimized geometry; ΔH_f (0 K) = -398 meV per atom; volume = 22.08 Å³ per atom; density of states at the Fermi level = 0.657 states/eV/atom
1.0
-4.385 0.184 2.392
-2.705 -4.163 0.584
-0.465 -2.064 4.529
Tb Au Al Zr
1 1 1 1
Direct
0.250 0.250 0.250
0.000 0.000 0.000
0.500 0.500 0.500
0.750 0.750 0.750


AlTc2Au | the Alexandria database | PBE | optimized geometry; ΔH_f (0 K) = -75 meV per atom; volume = 15.45 Å³ per atom; density of states at the Fermi level = 0.863 states/eV/atom
1.0
-8.554 -2.721 -1.057
-7.477 -5.078 0.088
-8.355 -2.966 1.759
Au Tc Al
1 2 1
Direct
0.753 0.753 0.753
0.994 0.994 0.994
0.250 0.250 0.250
0.503 0.503 0.503


AlTc2Au | the Alexandria database | PBE | optimized geometry; ΔH_f (0 K) = 71 meV per atom; volume = 15.33 Å³ per atom; density of states at the Fermi level = 0.957 states/eV/atom
1.0
-3.164 -0.832 4.200
0.928 -4.106 3.259
1.890 4.481 -2.167
Au Tc Al
1 2 1
Direct
0.250 0.750 0.500
0.983 0.983 0.000
0.517 0.517 0.000
0.750 0.250 0.500


Al2Tc2Au | the Alexandria database | PBE | optimized geometry; ΔH_f (0 K) = -64 meV per atom; volume = 15.97 Å³ per atom; ΔE to the lowest computed polymorph = 0.017 eV/atom; density of states at the Fermi level = 0.648 states/eV/atom
1.0
-0.427 6.584 -2.663
-3.259 2.188 5.933
2.798 0.699 1.279
Au Tc Al
2 4 4
Direct
0.000 0.000 0.000
0.500 0.500 0.000
0.380 0.880 0.000
0.880 0.620 0.000
0.620 0.120 0.000
0.120 0.380 0.000
0.175 0.675 0.500
0.675 0.825 0.500
0.825 0.325 0.500
0.325 0.175 0.500


AlTc2Au | the Alexandria database | PBE | optimized geometry; ΔH_f (0 K) = 119 meV per atom; volume = 15.40 Å³ per atom; density of states at the Fermi level = 1.313 states/eV/atom
1.0
9.213 -0.006 -0.003
8.789 2.762 -0.003
8.789 1.346 2.412
Au Tc Al
1 2 1
Direct
0.750 0.750 0.750
0.996 0.996 0.996
0.504 0.504 0.504
0.250 0.250 0.250


AlTc2Au | the Alexandria database | PBE | optimized geometry; ΔH_f (0 K) = 46 meV per atom; volume = 15.56 Å³ per atom; density of states at the Fermi level = 0.903 states/eV/atom
1.0
-3.304 -0.952 2.183
-1.421 -0.652 -2.436
0.251 -5.646 -2.084
Au Tc Al
1 2 1
Direct
0.500 0.750 0.750
0.000 0.970 0.029
0.000 0.530 0.471
0.500 0.250 0.250


AlTc2Au | the Alexandria database | PBE | optimized geometry; ΔH_f (0 K) = -76 meV per atom; volume = 15.48 Å³ per atom; density of states at the Fermi level = 0.856 states/eV/atom
1.0
-1.820 -1.242 -2.992
0.425 -2.743 0.880
-4.507 -2.479 3.770
Au Tc Al
1 2 1
Direct
0.500 0.767 0.732
0.000 0.977 0.036
0.500 0.259 0.231
0.000 0.496 0.501


Al2TcAu | the Alexandria database | PBE | optimized geometry; ΔH_f (0 K) = -34 meV per atom; volume = 15.97 Å³ per atom; density of states at the Fermi level = 0.487 states/eV/atom
1.0
8.879 0.002 0.001
8.403 2.871 0.001
8.403 1.397 2.508
Au Tc Al
1 1 2
Direct
0.502 0.502 0.502
0.746 0.746 0.746
0.002 0.002 0.002
0.249 0.249 0.249


Al2TcAu | the Alexandria database | PBE | optimized geometry; ΔH_f (0 K) = -214 meV per atom; volume = 15.79 Å³ per atom; density of states at the Fermi level = 0.439 states/eV/atom
1.0
-5.973 2.112 -5.939
-6.046 -0.803 -6.181
-7.629 0.534 -4.114
Au Tc Al
1 1 2
Direct
0.250 0.250 0.250
0.750 0.750 0.750
0.006 0.006 0.006
0.494 0.494 0.494


AlTc2Au | the Alexandria database | PBE | optimized geometry; ΔH_f (0 K) = -28 meV per atom; volume = 15.17 Å³ per atom; density of states at the Fermi level = 0.887 states/eV/atom
1.0
4.718 -0.002 0.000
1.309 4.533 0.000
-3.014 -2.266 2.837
Au Tc Al
1 2 1
Direct
0.750 0.250 0.500
0.000 0.000 0.000
0.250 0.750 0.500
0.500 0.500 0.000


AlTc2Au | the Alexandria database | PBE | optimized geometry; ΔH_f (0 K) = -26 meV per atom; volume = 15.37 Å³ per atom; density of states at the Fermi level = 0.947 states/eV/atom
1.0
-4.699 0.258 -0.054
-3.971 -1.900 1.665
-0.641 2.872 3.877
Au Tc Al
1 2 1
Direct
0.248 0.248 0.275
0.004 0.004 0.963
0.750 0.750 0.776
0.498 0.498 0.486


AlTc2Au | the Alexandria database | PBE | optimized geometry; ΔH_f (0 K) = -9 meV per atom; volume = 15.13 Å³ per atom; density of states at the Fermi level = 0.793 states/eV/atom
1.0
5.087 0.002 0.000
2.148 4.612 0.000
-3.132 -3.069 2.580
Au Tc Al
1 2 1
Direct
0.265 0.765 0.500
0.992 0.992 0.000
0.742 0.242 0.500
0.502 0.502 0.000


AlTc2Au | the Alexandria database | PBE | optimized geometry; ΔH_f (0 K) = 112 meV per atom; volume = 15.17 Å³ per atom; density of states at the Fermi level = 1.096 states/eV/atom
1.0
2.995 0.000 0.000
0.000 2.995 0.000
0.000 0.000 6.766
Au Tc Al
1 2 1
Direct
0.500 0.500 0.750
0.000 0.000 0.026
0.000 0.000 0.474
0.500 0.500 0.250


Al2TcAu | the Alexandria database | PBE | optimized geometry; ΔH_f (0 K) = -206 meV per atom; volume = 15.55 Å³ per atom; density of states at the Fermi level = 0.555 states/eV/atom
1.0
-0.777 1.858 -1.977
-1.033 -3.048 -2.459
-5.044 0.063 2.041
Au Tc Al
1 1 2
Direct
0.000 0.000 0.473
0.500 0.500 0.791
0.000 0.000 0.969
0.500 0.500 0.267


AlTc2Au | the Alexandria database | PBE | optimized geometry; ΔH_f (0 K) = 92 meV per atom; volume = 15.62 Å³ per atom; density of states at the Fermi level = 0.841 states/eV/atom
1.0
-1.037 -0.004 2.566
0.682 -2.497 -0.979
8.281 0.950 3.348
Au Tc Al
1 2 1
Direct
0.500 0.500 0.738
0.000 0.000 0.019
0.500 0.500 0.254
0.000 0.000 0.489


Al2TcAu | the Alexandria database | PBE | optimized geometry; ΔH_f (0 K) = 17 meV per atom; volume = 15.86 Å³ per atom; density of states at the Fermi level = 0.909 states/eV/atom
1.0
-0.614 -0.435 2.688
1.682 -2.227 0.024
6.248 4.742 2.195
Au Tc Al
1 1 2
Direct
0.000 0.000 0.498
0.500 0.500 0.763
0.000 0.000 0.989
0.500 0.500 0.250


AlTc2Au | the Alexandria database | PBE | optimized geometry; ΔH_f (0 K) = 89 meV per atom; volume = 15.37 Å³ per atom; density of states at the Fermi level = 0.971 states/eV/atom
1.0
-2.378 5.394 -0.823
-2.595 -3.856 -1.338
-2.169 0.859 1.720
Au Tc Al
1 2 1
Direct
0.500 0.500 0.000
0.000 0.000 0.000
0.500 0.000 0.500
0.000 0.500 0.500


Al2TcAu | the Alexandria database | PBE | optimized geometry; ΔH_f (0 K) = 56 meV per atom; volume = 15.69 Å³ per atom; density of states at the Fermi level = 0.368 states/eV/atom
1.0
-0.547 -2.223 -3.828
-2.925 -3.360 -0.230
-3.768 0.479 -2.339
Au Tc Al
1 1 2
Direct
0.500 0.500 0.500
0.750 0.750 0.750
0.000 0.000 0.000
0.250 0.250 0.250


Al2Tc2Au | the Alexandria database | PBE | optimized geometry; ΔH_f (0 K) = -82 meV per atom; volume = 15.12 Å³ per atom; ΔE to the lowest computed polymorph = 0.000 eV/atom; density of states at the Fermi level = 0.937 states/eV/atom
1.0
6.721 0.000 0.000
0.000 6.721 0.000
0.000 0.000 3.347
Au Tc Al
2 4 4
Direct
0.000 0.000 0.000
0.500 0.500 0.000
0.166 0.666 0.500
0.666 0.834 0.500
0.834 0.334 0.500
0.334 0.166 0.500
0.367 0.867 0.000
0.867 0.633 0.000
0.633 0.133 0.000
0.133 0.367 0.000


AlTc2Au | the Alexandria database | PBE | optimized geometry; ΔH_f (0 K) = 58 meV per atom; volume = 15.42 Å³ per atom; density of states at the Fermi level = 1.018 states/eV/atom
1.0
4.961 -0.001 -0.013
4.061 2.850 -0.013
1.007 0.318 4.358
Au Tc Al
1 2 1
Direct
0.250 0.250 0.250
0.005 0.005 0.983
0.495 0.495 0.517
0.750 0.750 0.750


Al2TcAu | the Alexandria database | PBE | optimized geometry; ΔH_f (0 K) = -184 meV per atom; volume = 15.77 Å³ per atom; density of states at the Fermi level = 0.412 states/eV/atom
1.0
2.859 -0.007 0.000
-1.150 2.618 0.000
0.000 0.000 8.435
Au Tc Al
1 1 2
Direct
0.500 0.500 0.250
0.500 0.500 0.750
0.000 0.000 0.984
0.000 0.000 0.516


Al2TcAu | the Alexandria database | PBE | optimized geometry; ΔH_f (0 K) = -218 meV per atom; volume = 15.48 Å³ per atom; density of states at the Fermi level = 0.342 states/eV/atom
1.0
-4.012 -0.088 1.665
-0.836 -1.596 -2.097
0.801 -5.005 1.667
Au Tc Al
1 1 2
Direct
0.000 0.462 0.453
0.500 0.779 0.816
0.000 0.209 0.955
0.500 0.050 0.276


AlTc2Au | the Alexandria database | PBE | optimized geometry; ΔH_f (0 K) = 538 meV per atom; volume = 16.58 Å³ per atom; density of states at the Fermi level = 1.149 states/eV/atom
1.0
7.224 0.000 0.000
0.000 7.224 0.000
3.612 3.612 2.543
Au Tc Al
2 4 2
Direct
0.000 0.000 0.000
0.750 0.250 0.500
0.598 0.125 0.250
0.152 0.625 0.250
0.375 0.402 0.750
0.875 0.848 0.750
0.500 0.500 0.000
0.250 0.750 0.500


AlTc3Au | the Alexandria database | PBE | optimized geometry; ΔH_f (0 K) = 1355 meV per atom; volume = 17.41 Å³ per atom; ΔE to the lowest computed polymorph = 0.000 eV/atom; density of states at the Fermi level = 1.244 states/eV/atom
1.0
-2.652 -1.752 -3.088
0.986 -4.066 1.461
-3.411 0.187 2.823
Au Tc Al
1 3 1
Direct
0.500 0.500 0.500
0.000 0.500 0.000
0.000 0.000 0.500
0.500 0.000 0.000
0.000 0.000 0.000


AlTc3Au | the Alexandria database | PBE | optimized geometry; ΔH_f (0 K) = 2184 meV per atom; volume = 23.64 Å³ per atom; ΔE to the lowest computed polymorph = 0.830 eV/atom; density of states at the Fermi level = 1.152 states/eV/atom
1.0
-2.607 4.148 0.279
-4.092 -2.501 -1.041
-0.738 -0.785 4.788
Au Tc Al
1 3 1
Direct
0.000 0.000 0.000
0.000 0.500 0.000
0.000 0.000 0.500
0.500 0.000 0.000
0.500 0.500 0.500


Al3TcAu2 | the Alexandria database | PBE | optimized geometry; ΔH_f (0 K) = -382 meV per atom; volume = 15.44 Å³ per atom; density of states at the Fermi level = 0.320 states/eV/atom
1.0
4.463 0.000 0.007
2.231 6.794 0.003
-0.009 0.000 6.109
Al Tc Au
6 2 4
Direct
0.823 0.353 0.768
0.500 0.000 0.244
0.177 0.647 0.232
0.823 0.353 0.232
0.177 0.647 0.768
0.500 0.000 0.756
0.339 0.321 0.000
0.661 0.679 0.000
0.000 0.000 0.000
0.000 0.000 0.500
0.339 0.322 0.500
0.661 0.678 0.500


Al2TcAu | the Alexandria database | PBE | optimized geometry; ΔH_f (0 K) = -183 meV per atom; volume = 15.55 Å³ per atom; density of states at the Fermi level = 0.705 states/eV/atom
1.0
4.574 -0.002 0.004
3.699 2.691 0.004
0.956 0.311 5.053
Au Tc Al
1 1 2
Direct
0.750 0.750 0.750
0.250 0.250 0.250
0.998 0.998 0.013
0.502 0.502 0.487


Al2TcAu | the Alexandria database | PBE | optimized geometry; ΔH_f (0 K) = -301 meV per atom; volume = 15.26 Å³ per atom; density of states at the Fermi level = 0.370 states/eV/atom
1.0
5.191 0.004 0.000
2.568 4.511 0.000
-3.879 -2.258 2.608
Au Tc Al
1 1 2
Direct
0.500 0.500 0.000
0.750 0.250 0.500
0.000 0.000 0.000
0.250 0.750 0.500